# GGA-PBE ZnAs, optimized geometry
data_ZnAs
_chemical_formula_sum 'Zn4 As4'
_space_group_name_H-M_alt 'P 1'
_space_group_IT_number 1
_cell_length_a 2.8293
_cell_length_b 5.1938
_cell_length_c 10.1129
_cell_angle_alpha 90.00
_cell_angle_beta 90.00
_cell_angle_gamma 90.00
loop_
_space_group_symop_operation_xyz
'x,y,z'
loop_
_atom_site_label
_atom_site_fract_x
_atom_site_fract_y
_atom_site_fract_z
Zn1 0.2500 0.2500 0.0553
Zn2 0.2500 0.7500 0.1592
Zn3 0.7500 0.2500 0.8408
Zn4 0.7500 0.7500 0.9447
As1 0.2500 0.2500 0.6241
As2 0.2500 0.7500 0.7087
As3 0.7500 0.2500 0.2913
As4 0.7500 0.7500 0.3759
# Raw total energy ... -2.796 eV/atom

***

# GGA-PBE ZnAs, optimized geometry
data_ZnAs
_chemical_formula_sum 'Zn4 As4'
_space_group_name_H-M_alt 'P 1'
_space_group_IT_number 1
_cell_length_a 5.6809
_cell_length_b 4.7999
_cell_length_c 5.2113
_cell_angle_alpha 90.00
_cell_angle_beta 90.00
_cell_angle_gamma 90.00
loop_
_space_group_symop_operation_xyz
'x,y,z'
loop_
_atom_site_label
_atom_site_fract_x
_atom_site_fract_y
_atom_site_fract_z
Zn1 0.1237 0.2500 0.2476
Zn2 0.3763 0.7500 0.7476
Zn3 0.6237 0.2500 0.2524
Zn4 0.8763 0.7500 0.7524
As1 0.1250 0.2500 0.7480
As2 0.3750 0.7500 0.2480
As3 0.6250 0.2500 0.7520
As4 0.8750 0.7500 0.2520
# Raw total energy ... -2.887 eV/atom

***

# GGA-PBE ZnAs, optimized geometry
data_ZnAs
_chemical_formula_sum 'Zn8 As8'
_space_group_name_H-M_alt 'P 1'
_space_group_IT_number 1
_cell_length_a 5.2737
_cell_length_b 5.9132
_cell_length_c 9.4978
_cell_angle_alpha 90.00
_cell_angle_beta 90.00
_cell_angle_gamma 90.00
loop_
_space_group_symop_operation_xyz
'x,y,z'
loop_
_atom_site_label
_atom_site_fract_x
_atom_site_fract_y
_atom_site_fract_z
Zn1 0.2500 0.0289 0.0385
Zn2 0.2500 0.2500 0.2717
Zn3 0.2500 0.2500 0.7769
Zn4 0.2500 0.4711 0.0385
Zn5 0.7500 0.5289 0.9615
Zn6 0.7500 0.7500 0.2231
Zn7 0.7500 0.7500 0.7283
Zn8 0.7500 0.9711 0.9615
As1 0.2500 0.0256 0.5102
As2 0.2500 0.4744 0.5102
As3 0.2500 0.7500 0.2547
As4 0.2500 0.7500 0.8323
As5 0.7500 0.2500 0.1677
As6 0.7500 0.2500 0.7453
As7 0.7500 0.5256 0.4898
As8 0.7500 0.9744 0.4898
# Raw total energy ... -2.822 eV/atom

***

# GGA-PBE ZnAs, optimized geometry
data_ZnAs
_chemical_formula_sum 'Zn4 As4'
_space_group_name_H-M_alt 'P 1'
_space_group_IT_number 1
_cell_length_a 5.2655
_cell_length_b 5.2655
_cell_length_c 5.2655
_cell_angle_alpha 90.00
_cell_angle_beta 90.00
_cell_angle_gamma 90.00
loop_
_space_group_symop_operation_xyz
'x,y,z'
loop_
_atom_site_label
_atom_site_fract_x
_atom_site_fract_y
_atom_site_fract_z
Zn1 0.0000 0.0000 0.0000
Zn2 0.0000 0.5000 0.5000
Zn3 0.5000 0.0000 0.5000
Zn4 0.5000 0.5000 0.0000
As1 0.0000 0.0000 0.5000
As2 0.0000 0.5000 0.0000
As3 0.5000 0.0000 0.0000
As4 0.5000 0.5000 0.5000
# Raw total energy ... -2.875 eV/atom

***

# GGA-PBE ZnAs, optimized geometry
data_ZnAs
_chemical_formula_sum 'Zn6 As6'
_space_group_name_H-M_alt 'P 1'
_space_group_IT_number 1
_cell_length_a 5.1105
_cell_length_b 8.5897
_cell_length_c 5.3122
_cell_angle_alpha 90.00
_cell_angle_beta 90.00
_cell_angle_gamma 90.00
loop_
_space_group_symop_operation_xyz
'x,y,z'
loop_
_atom_site_label
_atom_site_fract_x
_atom_site_fract_y
_atom_site_fract_z
Zn1 0.0000 0.0291 0.0000
Zn2 0.0000 0.3750 0.4761
Zn3 0.0000 0.6250 0.9761
Zn4 0.0000 0.9709 0.5000
Zn5 0.5000 0.3240 0.9759
Zn6 0.5000 0.6760 0.4759
As1 0.0000 0.3208 0.9767
As2 0.0000 0.6792 0.4767
As3 0.5000 0.0337 0.4873
As4 0.5000 0.3213 0.4769
As5 0.5000 0.6787 0.9769
As6 0.5000 0.9663 0.9873
# Raw total energy ... -2.909 eV/atom

***

# GGA-PBE ZnAs, optimized geometry
data_ZnAs
_chemical_formula_sum 'Zn12 As12'
_space_group_name_H-M_alt 'P 1'
_space_group_IT_number 1
_cell_length_a 5.4240
_cell_length_b 5.2006
_cell_length_c 15.3718
_cell_angle_alpha 90.00
_cell_angle_beta 90.05
_cell_angle_gamma 90.00
loop_
_space_group_symop_operation_xyz
'x,y,z'
loop_
_atom_site_label
_atom_site_fract_x
_atom_site_fract_y
_atom_site_fract_z
Zn1 0.0991 0.2500 0.1808
Zn2 0.0991 0.7500 0.3192
Zn3 0.1190 0.2500 0.8369
Zn4 0.1197 0.7500 0.6632
Zn5 0.3758 0.2500 0.3277
Zn6 0.3762 0.7500 0.1723
Zn7 0.6238 0.2500 0.8277
Zn8 0.6242 0.7500 0.6723
Zn9 0.8803 0.2500 0.3368
Zn10 0.8810 0.7500 0.1631
Zn11 0.9009 0.2500 0.6808
Zn12 0.9009 0.7500 0.8192
As1 0.0462 0.2500 0.0078
As2 0.0463 0.7500 0.4923
As3 0.4000 0.2500 0.6692
As4 0.3999 0.7500 0.8307
As5 0.4914 0.2500 0.4954
As6 0.4916 0.7500 0.0046
As7 0.5084 0.2500 0.9954
As8 0.5086 0.7500 0.5046
As9 0.6001 0.2500 0.1693
As10 0.6000 0.7500 0.3308
As11 0.9537 0.2500 0.5077
As12 0.9538 0.7500 0.9922
# Raw total energy ... -2.856 eV/atom

***

# GGA-PBE ZnAs, optimized geometry
data_ZnAs
_chemical_formula_sum 'Zn8 As8'
_space_group_name_H-M_alt 'P 1'
_space_group_IT_number 1
_cell_length_a 5.2023
_cell_length_b 6.9642
_cell_length_c 7.9824
_cell_angle_alpha 90.00
_cell_angle_beta 90.00
_cell_angle_gamma 90.00
loop_
_space_group_symop_operation_xyz
'x,y,z'
loop_
_atom_site_label
_atom_site_fract_x
_atom_site_fract_y
_atom_site_fract_z
Zn1 0.0000 0.0000 0.0000
Zn2 0.0000 0.1941 0.7093
Zn3 0.0000 0.3059 0.2093
Zn4 0.0000 0.5000 0.5000
Zn5 0.0000 0.6941 0.2093
Zn6 0.0000 0.8059 0.7093
Zn7 0.5000 0.0000 0.8545
Zn8 0.5000 0.5000 0.3545
As1 0.0000 0.0000 0.4036
As2 0.0000 0.5000 0.9036
As3 0.5000 0.0000 0.4071
As4 0.5000 0.2398 0.1128
As5 0.5000 0.2602 0.6128
As6 0.5000 0.5000 0.9071
As7 0.5000 0.7398 0.6128
As8 0.5000 0.7602 0.1128
# Raw total energy ... -2.867 eV/atom

***

# GGA-PBE Zn3As2, optimized geometry
data_Zn3As2
_chemical_formula_sum 'Zn24 As16'
_space_group_name_H-M_alt 'P 1'
_space_group_IT_number 1
_cell_length_a 10.2842
_cell_length_b 10.2842
_cell_length_c 10.2842
_cell_angle_alpha 109.47
_cell_angle_beta 109.47
_cell_angle_gamma 109.47
loop_
_space_group_symop_operation_xyz
'x,y,z'
loop_
_atom_site_label
_atom_site_fract_x
_atom_site_fract_y
_atom_site_fract_z
Zn1 0.0092 0.0341 0.2620
Zn2 0.0249 0.4908 0.7528
Zn3 0.0341 0.2620 0.0092
Zn4 0.2278 0.4659 0.4751
Zn5 0.2380 0.2722 0.7472
Zn6 0.2472 0.9751 0.5092
Zn7 0.2528 0.7620 0.7278
Zn8 0.2620 0.0092 0.0341
Zn9 0.2722 0.7472 0.2380
Zn10 0.4659 0.4751 0.2278
Zn11 0.4751 0.2278 0.4659
Zn12 0.4908 0.7528 0.0249
Zn13 0.5092 0.2472 0.9751
Zn14 0.5249 0.7722 0.5341
Zn15 0.5341 0.5249 0.7722
Zn16 0.7278 0.2528 0.7620
Zn17 0.7380 0.9908 0.9659
Zn18 0.7472 0.2380 0.2722
Zn19 0.7528 0.0249 0.4908
Zn20 0.7620 0.7278 0.2528
Zn21 0.7722 0.5341 0.5249
Zn22 0.9659 0.7380 0.9908
Zn23 0.9751 0.5092 0.2472
Zn24 0.9908 0.9659 0.7380
As1 0.0000 0.0000 0.0000
As2 0.0000 0.5000 0.5000
As3 0.0089 0.7589 0.2500
As4 0.2411 0.7500 0.9911
As5 0.2500 0.0089 0.7589
As6 0.2500 0.5089 0.2589
As7 0.2589 0.2500 0.5089
As8 0.4911 0.7411 0.7500
As9 0.5000 0.0000 0.5000
As10 0.5000 0.5000 0.0000
As11 0.5089 0.2589 0.2500
As12 0.7411 0.7500 0.4911
As13 0.7500 0.4911 0.7411
As14 0.7500 0.9911 0.2411
As15 0.7589 0.2500 0.0089
As16 0.9911 0.2411 0.7500
# Raw total energy ... -2.744 eV/atom

***

# GGA-PBE Zn3As, optimized geometry
data_Zn3As
_chemical_formula_sum 'Zn6 As2'
_space_group_name_H-M_alt 'P 1'
_space_group_IT_number 1
_cell_length_a 4.6602
_cell_length_b 6.3166
_cell_length_c 4.7030
_cell_angle_alpha 90.00
_cell_angle_beta 90.00
_cell_angle_gamma 90.00
loop_
_space_group_symop_operation_xyz
'x,y,z'
loop_
_atom_site_label
_atom_site_fract_x
_atom_site_fract_y
_atom_site_fract_z
Zn1 0.2500 0.0342 0.1692
Zn2 0.2500 0.2500 0.7122
Zn3 0.2500 0.4658 0.1692
Zn4 0.7500 0.5342 0.8308
Zn5 0.7500 0.7500 0.2878
Zn6 0.7500 0.9658 0.8308
As1 0.2500 0.7500 0.5535
As2 0.7500 0.2500 0.4465
# Raw total energy ... -2.039 eV/atom

***

# GGA-PBE ZnAs, optimized geometry
data_ZnAs
_chemical_formula_sum 'Zn4 As4'
_space_group_name_H-M_alt 'P 1'
_space_group_IT_number 1
_cell_length_a 5.2073
_cell_length_b 3.6751
_cell_length_c 7.5332
_cell_angle_alpha 90.00
_cell_angle_beta 90.00
_cell_angle_gamma 90.00
loop_
_space_group_symop_operation_xyz
'x,y,z'
loop_
_atom_site_label
_atom_site_fract_x
_atom_site_fract_y
_atom_site_fract_z
Zn1 0.0000 0.0000 0.0000
Zn2 0.2500 0.5000 0.2239
Zn3 0.5000 0.0000 0.0000
Zn4 0.7500 0.5000 0.7761
As1 0.2500 0.0000 0.4945
As2 0.2500 0.5000 0.7485
As3 0.7500 0.0000 0.5055
As4 0.7500 0.5000 0.2515
# Raw total energy ... -2.862 eV/atom

***

# GGA-PBE Zn3As2, optimized geometry
data_Zn3As2
_chemical_formula_sum 'Zn6 As4'
_space_group_name_H-M_alt 'P 1'
_space_group_IT_number 1
_cell_length_a 5.9020
_cell_length_b 5.9020
_cell_length_c 5.9020
_cell_angle_alpha 90.00
_cell_angle_beta 90.00
_cell_angle_gamma 90.00
loop_
_space_group_symop_operation_xyz
'x,y,z'
loop_
_atom_site_label
_atom_site_fract_x
_atom_site_fract_y
_atom_site_fract_z
Zn1 0.2500 0.2500 0.7500
Zn2 0.2500 0.7500 0.2500
Zn3 0.2500 0.7500 0.7500
Zn4 0.7500 0.2500 0.2500
Zn5 0.7500 0.2500 0.7500
Zn6 0.7500 0.7500 0.2500
As1 0.0000 0.0000 0.0000
As2 0.0000 0.5000 0.5000
As3 0.5000 0.0000 0.5000
As4 0.5000 0.5000 0.0000
# Raw total energy ... -2.605 eV/atom